Computed, not measured: Zr2ZnW after structural relaxation at the PBE level of DFT.

abc: 5.525 5.525 5.185
angles: 76.97 76.97 29.76
Positions (direct):
Zn  0.227  0.227  0.219
W  0.525  0.525  0.524
Zr  0.979  0.979  0.052
Zr  0.768  0.768  0.705

The value obtained for the formation energy is 112 meV per atom. The value obtained for the uncorrected energy is -30.874 eV for the cell shown.